LaLuGa4Ir2 | OQMD | GGA-PBE | relaxed; electronic total energy = -5.63 eV/atom; ρ = 10442 kg/m3; M_tot = 0.01 Bohr magnetons per cell
1.0
-0.7494 -4.0680 -0.7574
7.1834 -1.1894 -0.7186
0.6996 1.0140 5.3149
Ga Ir La Lu
4 2 1 1
Direct
0.6462 0.3098 0.2962
0.6462 0.6902 0.2962
0.3546 0.2061 0.7050
0.3546 0.7939 0.7050
0.2095 0.5000 0.4251
0.7929 0.0000 0.5775
0.0676 0.0000 0.1381
0.9285 0.5000 0.8568